{"formula": "RbBa2Ge2S6", "functional": "PBE-GGA", "state": "optimized geometry", "cell": [[7.018, 0.000, 0.000], [3.509, 6.078, 0.000], [3.509, 2.026, 8.994]], "species": ["S", "S", "S", "S", "S", "S", "Rb", "Ge", "Ge", "Ba", "Ba"], "frac_coords": [[0.259, 0.792, 0.690], [0.259, 0.259, 0.690], [0.741, 0.741, 0.310], [0.208, 0.741, 0.310], [0.741, 0.208, 0.310], [0.792, 0.259, 0.690], [0.000, 0.000, 0.000], [0.573, 0.573, 0.282], [0.427, 0.427, 0.718], [0.795, 0.795, 0.615], [0.205, 0.205, 0.385]], "spacegroup": "R-3m (166)", "dft_energy_ev_per_atom": -4.491, "density_g_cm3": 3.02, "formation_energy_uncorrected_ev_per_fu": -10.6}